Na2MnCrNi: relaxed, PBE-GGA.

Cell: 5.280 5.280 3.939 Å, 90.00 90.00 90.00°
Space group P4/mmm (No. 123)
One atom of each set of equivalent atoms:
1 Na 0.000 0.500 0.000 (multiplicity 2)
2 Mn 0.000 0.000 0.000 (multiplicity 1)
3 Cr 0.000 0.000 0.500 (multiplicity 1)
4 Ni 0.500 0.500 0.500 (multiplicity 1)

Output
The crystal system is tetragonal. For the total magnetization, the calculation gives 1.21 μB/f.u. The density of states at the Fermi level comes out at 1.295 states/eV/atom. The calculated total energy comes out at -3.85 eV/atom.